No. 1
CsAcH6Au2: relaxed, PBE-GGA.

Cell lengths 9.9996, 10.2403, 7.9972 Å; angles 90.00, 121.27, 90.00 degrees
With the nearest neighbours (Å) after each atom.
Space group C2/c (No. 15)
Unique sites:
Cs  0.0000  0.1051  0.2500 (multiplicity 4)  8 H 3.04-3.28
Ac  0.0000  0.4035  0.7500 (multiplicity 4)  8 H 2.50-2.68
H  0.0188  0.3946  0.4366 (multiplicity 8)  1 Au 2.16
H  0.2203  0.2072  0.1228 (multiplicity 8)  1 Au 1.65
H  0.2361  0.0070  0.6576 (multiplicity 8)  1 Au 1.68
Au  0.2281  0.3502  0.2235 (multiplicity 8)  2 H 1.65-1.68

Values from the calculation:
The value obtained for the total magnetization is 0.00 μB/cell. The value obtained for the energy is -3.410 eV per atom.


No. 2
SmTm2Tl4: relaxed, PBE-GGA.

Cell lengths 5.9731, 3.4809, 10.3667 Å; angles 90.00, 101.49, 90.00 degrees
With the nearest neighbours (Å) after each atom.
Space group P2/m (No. 10)
Unique sites:
Sm  0.0000  0.0000  0.0000 (multiplicity 1)  8 Tl 3.29-3.42, 2 Sm 3.48
Tm  0.2771  0.5000  0.5937 (multiplicity 2)  5 Tl 3.16-3.32, 3 Tm 3.48-3.49
Tl  0.1658  0.5000  0.2832 (multiplicity 2)  3 Tm 3.16-3.32, 2 Sm 3.39, 4 Tl 3.45-3.48
Tl  0.4364  0.0000  0.8496 (multiplicity 2)  1 Tl 3.06, 2 Tm 3.16, 2 Sm 3.29-3.42

Values from the calculation:
For the formation energy, the calculation gives -0.3 kJ/mol of atoms. As for the energy relative to the lowest polymorph listed for this composition: 0.202 eV per atom. The value obtained for the total magnetization is 0.00 μB/cell. The value obtained for the energy is -3.307 eV per atom. The calculation puts the density of states at the Fermi level at 0.916 states/eV per atom.